# 1
A geometry-optimized Dy8ErTm2 structure. Source: Alexandria via LeMat-Bulk, functional PBE.

## Properties
The value obtained for the mass density is 8.40 g/cm³. The calculation puts the formation energy from the elements at 0.17 eV/atom.

a = 10.0194 Å, b = 10.0194 Å, c = 5.5264 Å
α = 92.83°, β = 92.83°, γ = 40.11°
Closest atoms and distances in Å follow each position.
Atoms (fractional coordinates):
Dy 0.0463 0.0463 0.2353  1 Dy 3.05, 1 Tm 3.19
Dy 0.1019 0.6334 0.2680  4 Dy 3.22-3.52, 3 Tm 3.39-3.58, 1 Er 3.48
Dy 0.3123 0.3123 0.7685  4 Tm 3.30-3.48, 4 Dy 3.43-3.52, 1 Er 3.69
Dy 0.3666 0.8981 0.7320  4 Dy 3.22-3.52, 3 Tm 3.39-3.58, 1 Er 3.48
Dy 0.6334 0.1019 0.2680  4 Dy 3.22-3.52, 3 Tm 3.39-3.58, 1 Er 3.48
Dy 0.6877 0.6877 0.2315  4 Tm 3.30-3.48, 4 Dy 3.43-3.52, 1 Er 3.69
Dy 0.8981 0.3666 0.7320  4 Dy 3.22-3.52, 3 Tm 3.39-3.58, 1 Er 3.48
Dy 0.9537 0.9537 0.7647  1 Dy 3.05, 1 Tm 3.19
Er 0.5000 0.5000 0.0000  10 Dy 3.48-3.76
Tm 0.2158 0.2158 0.2521  9 Dy 3.19-3.54
Tm 0.7842 0.7842 0.7479  9 Dy 3.19-3.54

# 2
A geometry-optimized Tb7Cu2Hg2 structure. Source: Alexandria via LeMat-Bulk, functional PBE.

## Properties
The value obtained for the mass density is 8.73 g/cm³. The calculation puts the formation energy from the elements at -0.07 eV/atom.

a = 6.8222 Å, b = 6.8222 Å, c = 7.1155 Å
α = 90.00°, β = 90.00°, γ = 109.60°
Closest atoms and distances in Å follow each position.
Atoms (fractional coordinates):
Tb 0.0000 0.0000 0.0000  2 Cu 3.34
Tb 0.0000 0.5000 0.2575  2 Cu 2.74
Tb 0.0000 0.5000 0.7425  2 Cu 2.74
Tb 0.5000 0.0000 0.2575  2 Cu 2.74
Tb 0.5000 0.0000 0.7425  2 Cu 2.74
Tb 0.5000 0.5000 0.2449  2 Cu 2.84, 2 Hg 3.10
Tb 0.5000 0.5000 0.7551  2 Cu 2.84, 2 Hg 3.10
Cu 0.2991 0.7009 0.0000  6 Tb 2.74-2.84
Cu 0.7009 0.2991 0.0000  6 Tb 2.74-2.84
Hg 0.1806 0.1806 0.5000  1 Hg 2.84, 2 Tb 3.10
Hg 0.8194 0.8194 0.5000  1 Hg 2.84, 2 Tb 3.10

# 3
A geometry-optimized CaZr2Br structure. Source: Alexandria via LeMat-Bulk, functional PBE.

## Properties
The distance to the lowest polymorph of the same formula is 32.91 kJ/mol of atoms. The value obtained for the mass density is 4.57 g/cm³.

a = 4.1019 Å, b = 4.1019 Å, c = 26.1451 Å
α = 90.00°, β = 90.00°, γ = 90.00°
Closest atoms and distances in Å follow each position.
Atoms (fractional coordinates):
Ca 0.0000 0.0000 0.0000  4 Br 2.90
Ca 0.0000 0.5000 0.2500  4 Br 2.90
Ca 0.5000 0.0000 0.7500  4 Br 2.90
Ca 0.5000 0.5000 0.5000  4 Br 2.90
Zr 0.2482 0.2500 0.1250  4 Zr 2.89-2.91
Zr 0.2500 0.7482 0.3750  4 Zr 2.89-2.91
Zr 0.2500 0.7518 0.8750  4 Zr 2.89-2.91
Zr 0.2518 0.2500 0.6250  4 Zr 2.89-2.91
Zr 0.7482 0.7500 0.6250  4 Zr 2.89-2.91
Zr 0.7500 0.2482 0.8750  4 Zr 2.89-2.91
Zr 0.7500 0.2518 0.3750  4 Zr 2.89-2.91
Zr 0.7518 0.7500 0.1250  4 Zr 2.89-2.91
Br 0.0000 0.0000 0.5000  4 Ca 2.90
Br 0.0000 0.5000 0.7500  4 Ca 2.90
Br 0.5000 0.0000 0.2500  4 Ca 2.90
Br 0.5000 0.5000 0.0000  4 Ca 2.90

# 4
A geometry-optimized Pr2Dy3Er5 structure. Source: Alexandria via LeMat-Bulk, functional PBE.

## Properties
The distance to the lowest polymorph of the same formula is 0.00 kJ/mol of atoms. The value obtained for the mass density is 8.16 g/cm³. The calculation puts the formation energy from the elements at 0.19 eV/atom.

a = 9.5591 Å, b = 9.5591 Å, c = 9.3773 Å
α = 108.01°, β = 108.01°, γ = 112.96°
Closest atoms and distances in Å follow each position.
Atoms (fractional coordinates):
Pr 0.0140 0.2680 0.0474  2 Dy 3.14-3.29, 4 Er 3.31-3.43
Pr 0.2680 0.0140 0.5474  2 Dy 3.14-3.29, 4 Er 3.31-3.43
Pr 0.7320 0.9860 0.4526  2 Dy 3.14-3.29, 4 Er 3.31-3.43
Pr 0.9860 0.7320 0.9526  2 Dy 3.14-3.29, 4 Er 3.31-3.43
Dy 0.2205 0.4629 0.4508  1 Pr 3.14, 6 Er 3.30-3.48
Dy 0.2737 0.7263 0.2500  1 Er 3.17, 4 Pr 3.29-3.52
Dy 0.4629 0.2205 0.9508  1 Pr 3.14, 6 Er 3.30-3.48
Dy 0.5371 0.7795 0.0492  1 Pr 3.14, 6 Er 3.30-3.48
Dy 0.7263 0.2737 0.7500  1 Er 3.17, 4 Pr 3.29-3.52
Dy 0.7795 0.5371 0.5492  1 Pr 3.14, 6 Er 3.30-3.48
Er 0.0220 0.9780 0.7500  4 Pr 3.31-3.43, 3 Er 3.35-3.50, 2 Dy 3.38
Er 0.1516 0.3881 0.7829  3 Dy 3.41-3.66, 2 Pr 3.43-3.66, 3 Er 3.50-3.54
Er 0.2320 0.7680 0.7500  4 Dy 3.30-3.48, 3 Er 3.35-3.54, 2 Pr 3.43
Er 0.3881 0.1516 0.2829  3 Dy 3.41-3.66, 2 Pr 3.43-3.66, 3 Er 3.50-3.54
Er 0.4726 0.5274 0.2500  5 Dy 3.17-3.48, 2 Er 3.50, 2 Pr 3.53
Er 0.5274 0.4726 0.7500  5 Dy 3.17-3.48, 2 Er 3.50, 2 Pr 3.53
Er 0.6119 0.8484 0.7171  3 Dy 3.41-3.66, 2 Pr 3.43-3.66, 3 Er 3.50-3.54
Er 0.7680 0.2320 0.2500  4 Dy 3.30-3.48, 3 Er 3.35-3.54, 2 Pr 3.43
Er 0.8484 0.6119 0.2171  3 Dy 3.41-3.66, 2 Pr 3.43-3.66, 3 Er 3.50-3.54
Er 0.9780 0.0220 0.2500  4 Pr 3.31-3.43, 3 Er 3.35-3.50, 2 Dy 3.38

# 5
A geometry-optimized La2TiCrS6 structure. Source: Alexandria via LeMat-Bulk, functional PBE.

## Properties
The value obtained for the mass density is 4.52 g/cm³. The calculation puts the calculated total energy at -0.502 Ry per atom.

a = 6.3601 Å, b = 7.0661 Å, c = 11.2418 Å
α = 90.00°, β = 124.09°, γ = 90.00°
Closest atoms and distances in Å follow each position.
Atoms (fractional coordinates):
La 0.2106 0.0962 0.2482  8 S 2.86-3.20
La 0.2106 0.4038 0.7482  8 S 2.86-3.20
La 0.7894 0.5962 0.2518  8 S 2.86-3.20
La 0.7894 0.9038 0.7518  8 S 2.86-3.20
Ti 0.5000 0.0000 0.0000  6 S 2.42-2.52
Ti 0.5000 0.5000 0.5000  6 S 2.42-2.52
Cr 0.0000 0.0000 0.5000  6 S 2.41-2.51
Cr 0.0000 0.5000 0.0000  6 S 2.41-2.51
S 0.1336 0.1909 0.9515  1 Ti 2.47, 1 Cr 2.51
S 0.1336 0.3091 0.4515  1 Ti 2.47, 1 Cr 2.51
S 0.2698 0.6901 0.9523  1 Cr 2.46, 1 Ti 2.52
S 0.2698 0.8099 0.4523  1 Cr 2.46, 1 Ti 2.52
S 0.3486 0.0179 0.7487  1 Cr 2.41, 1 Ti 2.42
S 0.3486 0.4821 0.2487  1 Cr 2.41, 1 Ti 2.42
S 0.6514 0.5179 0.7513  1 Cr 2.41, 1 Ti 2.42
S 0.6514 0.9821 0.2513  1 Cr 2.41, 1 Ti 2.42
S 0.7302 0.1901 0.5477  1 Cr 2.46, 1 Ti 2.52
S 0.7302 0.3099 0.0477  1 Cr 2.46, 1 Ti 2.52
S 0.8664 0.6909 0.5485  1 Ti 2.47, 1 Cr 2.51
S 0.8664 0.8091 0.0485  1 Ti 2.47, 1 Cr 2.51

# 6
A geometry-optimized ReSb2Cl structure. Source: Alexandria via LeMat-Bulk, functional PBE.

## Properties
The distance to the lowest polymorph of the same formula is 36.67 kJ/mol of atoms. The value obtained for the mass density is 8.85 g/cm³.

a = 7.8710 Å, b = 7.5753 Å, c = 3.1385 Å
α = 90.00°, β = 111.19°, γ = 90.00°
Closest atoms and distances in Å follow each position.
Atoms (fractional coordinates):
Re 0.0000 0.0000 0.0000  4 Sb 2.73
Re 0.5000 0.5000 0.0000  4 Sb 2.73
Sb 0.2500 0.2500 0.0000  2 Cl 2.73, 2 Re 2.73
Sb 0.2500 0.7500 0.0000  2 Cl 2.73, 2 Re 2.73
Sb 0.7500 0.2500 0.0000  2 Cl 2.73, 2 Re 2.73
Sb 0.7500 0.7500 0.0000  2 Re 2.73, 2 Cl 2.73
Cl 0.0000 0.5000 0.0000  4 Sb 2.73
Cl 0.5000 0.0000 0.0000  4 Sb 2.73

What is the formula in the sixth record? ReSb2Cl